[1]
First-principles (PBE) data for Mn2Ni2Os after structural relaxation, as listed in Alexandria via LeMat-Bulk.

* SG: P4/mbm (127)
* polymorph energy (0 for the lowest one): 0 meV/atom
* formation energy from the elements: 0.28 eV/atom
* volume: 11.593 Å³ per atom

Cell: 6.6357 6.6357 2.6327 Å, 90.00 90.00 90.00°
Fractional positions:
Os 0.5000 0.5000 0.0000
Os 0.0000 0.0000 0.0000
Ni 0.1229 0.3771 0.0000
Ni 0.6229 0.1229 0.0000
Ni 0.3771 0.8771 0.0000
Ni 0.8771 0.6229 0.0000
Mn 0.6751 0.8249 0.5000
Mn 0.1751 0.6751 0.5000
Mn 0.8249 0.3249 0.5000
Mn 0.3249 0.1751 0.5000



[2]
First-principles (PBE) data for La3CoSn after structural relaxation, as listed in Alexandria via LeMat-Bulk.

* SG: C2/m (12)
* polymorph energy (0 for the lowest one): 130 meV/atom
* formation energy from the elements: -0.32 eV/atom
* volume: 28.229 Å³ per atom

Cell: 19.7846 7.8228 7.8228 Å, 146.05 150.35 29.65°
Fractional positions:
Sn 0.8575 0.0728 0.9272
Sn 0.1425 0.9272 0.0728
La 0.1618 0.2374 0.7626
La 0.4916 0.4027 0.5973
La 0.5084 0.5973 0.4027
La 0.8092 0.4772 0.5228
La 0.8382 0.7626 0.2374
La 0.1908 0.5228 0.4772
Co 0.6664 0.7997 0.2003
Co 0.3336 0.2003 0.7997



| no. | electronic total energy (eV per atom) |
| --- | --- |
| 1 | -7.948 |
| 2 | -5.496 |